No. 1
Density functional theory data (PBE) for an optimized crystal structure of CaTe2S2.

abc: 7.902 7.902 4.659
angles: 90.00 90.00 90.00
Fractional coordinates of all 10 atoms:
Ca (0.000, 0.000, 0.000)
Ca (0.500, 0.500, 0.000)
Te (0.170, 0.330, 0.500)
Te (0.330, 0.830, 0.500)
Te (0.670, 0.170, 0.500)
Te (0.830, 0.670, 0.500)
S (0.226, 0.726, 0.000)
S (0.274, 0.226, 0.000)
S (0.726, 0.774, 0.000)
S (0.774, 0.274, 0.000)

## Properties
Crystal system   tetragonal
Mass density   4.1 g cm⁻³

***

No. 2
Density functional theory data (PBE) for an optimized crystal structure of Ca3TeS.

abc: 5.372 5.372 5.372
angles: 90.00 90.00 90.00
Fractional coordinates of all 5 atoms:
Ca (0.000, 0.000, 0.500)
Ca (0.000, 0.500, 0.000)
Ca (0.500, 0.000, 0.000)
Te (0.500, 0.500, 0.500)
S (0.000, 0.000, 0.000)

## Properties
Crystal system   cubic
Mass density   3.0 g cm⁻³

***

no.,formation energy without anion corrections (eV per atom),total energy (eV per atom)
1,-0.5280,-3.8360
2,-1.0728,-3.7276